Compound: PmZrTl
Source: Alexandria via LeMat-Bulk
Functional: PBE-GGA
Structure: relaxed

Computed properties:
Crystal system = tetragonal
Magnetic moment = 0.000 μB per atom
Symmetry = No. 107
Final energy = -5.2692 eV per atom
Distance to the lowest polymorph of the same formula = 0.000 eV/atom
ΔE_f = -47 meV/atom

abc: 3.508 3.508 7.086
angles: 104.33 104.33 90.00
Atoms (fractional coordinates):
Tl (0.676, 0.676, 0.351)
Pm (0.000, 0.000, 0.001)
Zr (0.324, 0.324, 0.648)

***

Compound: PrIn3Au3
Source: Alexandria via LeMat-Bulk
Functional: PBE-GGA
Structure: relaxed

Computed properties:
Crystal system = trigonal
Magnetic moment = 0.000 μB per atom
Symmetry = No. 148
Final energy = -3.6392 eV per atom
Distance to the lowest polymorph of the same formula = 0.023 eV/atom
ΔE_f = -378 meV/atom

abc: 8.629 8.629 7.633
angles: 55.58 55.58 60.00
Atoms (fractional coordinates):
In (0.795, 0.099, 0.709)
Au (0.729, 0.427, 0.768)
Au (0.923, 0.271, 0.232)
Au (0.573, 0.923, 0.232)
In (0.901, 0.602, 0.291)
Pr (0.665, 0.665, 0.005)
Pr (0.335, 0.335, 0.995)
In (0.398, 0.795, 0.709)
Au (0.077, 0.729, 0.768)
In (0.099, 0.398, 0.709)
Au (0.427, 0.077, 0.768)
Au (0.271, 0.573, 0.232)
In (0.205, 0.901, 0.291)
In (0.602, 0.205, 0.291)

***

Compound: Tb2ScIn3Te6
Source: Alexandria via LeMat-Bulk
Functional: PBE-GGA
Structure: relaxed

Computed properties:
Crystal system = monoclinic
E_form (uncorrected) = -89.7 kJ/mol of atoms
Magnetic moment = 0.000 μB per atom
Symmetry = No. 12
Final energy = -4.4848 eV per atom

abc: 7.554 7.554 8.454
angles: 98.58 98.58 119.96
Atoms (fractional coordinates):
Te (0.393, 0.071, 0.215)
Te (0.752, 0.752, 0.220)
In (0.500, 0.500, 0.500)
Te (0.607, 0.929, 0.785)
Tb (0.334, 0.666, 0.000)
Tb (0.666, 0.334, 0.000)
In (0.171, 0.829, 0.500)
Te (0.248, 0.248, 0.780)
Sc (0.000, 0.000, 0.000)
Te (0.071, 0.393, 0.215)
Te (0.929, 0.607, 0.785)
In (0.829, 0.171, 0.500)

***

Compound: KNi2Sn
Source: Alexandria via LeMat-Bulk
Functional: PBE-GGA
Structure: relaxed

Computed properties:
Crystal system = tetragonal
Magnetic moment = 0.000 μB per atom
Symmetry = No. 122
Final energy = -3.5852 eV per atom
ΔE_f = 581 meV/atom

abc: 7.664 7.664 6.365
angles: 52.99 52.99 90.00
Atoms (fractional coordinates):
Ni (0.047, 0.625, 0.250)
Sn (0.000, 0.000, 0.000)
Ni (0.375, 0.297, 0.750)
K (0.500, 0.500, 0.000)
Ni (0.875, 0.953, 0.750)
K (0.250, 0.750, 0.500)
Sn (0.750, 0.250, 0.500)
Ni (0.703, 0.125, 0.250)

***

Compound: FeSi2Se
Source: Alexandria via LeMat-Bulk
Functional: PBE-GGA
Structure: relaxed

Computed properties:
Crystal system = orthorhombic
E_form (uncorrected) = 28.6 kJ/mol of atoms
Magnetic moment = 0.602 μB per atom
Symmetry = No. 69
Final energy = -5.4024 eV per atom

abc: 5.306 5.306 3.643
angles: 71.05 71.05 123.58
Site moments in Bohr magnetons follow the coordinates.
Atoms (fractional coordinates):
Si (0.500, 0.500, 0.000)  -0.02
Fe (0.500, 0.000, 0.500)  2.44
Se (0.000, 0.500, 0.500)  0.01
Si (0.000, 0.000, 0.000)  -0.02

***

Compound: Cu2TeSe2Br
Source: Alexandria via LeMat-Bulk
Functional: PBE-GGA
Structure: relaxed

Computed properties:
Crystal system = monoclinic
E_form (uncorrected) = -5.3 kJ/mol of atoms
Magnetic moment = 0.000 μB per atom
Symmetry = No. 11
Final energy = -3.3843 eV per atom

abc: 5.403 6.123 9.578
angles: 103.47 90.00 90.00
Atoms (fractional coordinates):
Cu (0.513, 0.103, 0.195)
Cu (0.013, 0.897, 0.805)
Se (0.750, 0.983, 0.628)
Cu (0.987, 0.103, 0.195)
Se (0.250, 0.017, 0.372)
Br (0.250, 0.202, 0.972)
Br (0.750, 0.798, 0.028)
Se (0.250, 0.558, 0.686)
Se (0.750, 0.442, 0.314)
Te (0.250, 0.586, 0.339)
Cu (0.487, 0.897, 0.805)
Te (0.750, 0.414, 0.661)

***

Compound: TeAsIN2
Source: Alexandria via LeMat-Bulk
Functional: PBE-GGA
Structure: relaxed

Computed properties:
Crystal system = tetragonal
E_form (uncorrected) = 146.8 kJ/mol of atoms
Magnetic moment = 0.000 μB per atom
Symmetry = No. 123
Final energy = -3.6769 eV per atom
Distance to the lowest polymorph of the same formula = 0.000 eV/atom

abc: 4.064 4.064 6.226
angles: 90.00 90.00 90.00
Atoms (fractional coordinates):
N (0.500, 0.000, 0.000)
Te (0.000, 0.000, 0.500)
As (0.000, 0.000, 0.000)
N (0.000, 0.500, 0.000)
I (0.500, 0.500, 0.500)

***

Compound: AlTcI3
Source: Alexandria via LeMat-Bulk
Functional: PBE-GGA
Structure: relaxed

Computed properties:
Crystal system = cubic
E_form (uncorrected) = 73.1 kJ/mol of atoms
Magnetic moment = 1.041 μB per atom
Symmetry = No. 221
Final energy = -2.9946 eV per atom
Distance to the lowest polymorph of the same formula = 0.347 eV/atom

abc: 5.618 5.618 5.618
angles: 90.00 90.00 90.00
Site moments in Bohr magnetons follow the coordinates.
Atoms (fractional coordinates):
I (0.000, 0.000, 0.500)  0.03
Tc (0.500, 0.500, 0.500)  4.12
I (0.000, 0.500, 0.000)  0.06
Al (0.000, 0.000, 0.000)  -0.04
I (0.500, 0.000, 0.000)  0.03

***

Compound: Y2Al4NiPt3
Source: Alexandria via LeMat-Bulk
Functional: PBE-GGA
Structure: relaxed

Computed properties:
Crystal system = tetragonal
Magnetic moment = 0.000 μB per atom
Symmetry = No. 115
Final energy = -6.1916 eV per atom
ΔE_f = -1011 meV/atom

abc: 4.110 4.110 10.742
angles: 90.00 90.00 90.00
Atoms (fractional coordinates):
Al (0.500, 0.000, 0.626)
Al (0.500, 0.500, 0.000)
Y (0.500, 0.000, 0.254)
Y (0.000, 0.500, 0.746)
Pt (0.500, 0.000, 0.860)
Pt (0.000, 0.000, 0.500)
Pt (0.000, 0.500, 0.140)
Ni (0.500, 0.500, 0.500)
Al (0.000, 0.500, 0.374)
Al (0.000, 0.000, 0.000)

***

Compound: PmMgGaGe
Source: Alexandria via LeMat-Bulk
Functional: PBE-GGA
Structure: relaxed

Computed properties:
Crystal system = orthorhombic
Magnetic moment = 0.000 μB per atom
Symmetry = No. 47
Final energy = -3.9889 eV per atom
Distance to the lowest polymorph of the same formula = 0.000 eV/atom
ΔE_f = -491 meV/atom

abc: 4.194 4.462 4.639
angles: 90.00 90.00 90.00
Atoms (fractional coordinates):
Ga (0.000, 0.500, 0.500)
Pm (0.500, 0.500, 0.000)
Mg (0.500, 0.000, 0.500)
Ge (0.000, 0.000, 0.000)

***

Compound: SmGe2SbO8
Source: Alexandria via LeMat-Bulk
Functional: PBE-GGA
Structure: relaxed

Computed properties:
Crystal system = tetragonal
E_form (uncorrected) = -175.3 kJ/mol of atoms
Magnetic moment = 0.000 μB per atom
Symmetry = No. 119
Final energy = -6.6291 eV per atom

abc: 5.876 5.876 5.876
angles: 106.64 106.64 115.30
Atoms (fractional coordinates):
Sb (0.000, 0.000, 0.000)
O (0.933, 0.239, 0.306)
O (0.295, 0.469, 0.173)
O (0.531, 0.705, 0.827)
O (0.933, 0.627, 0.694)
Sm (0.250, 0.750, 0.500)
Ge (0.750, 0.250, 0.500)
Ge (0.500, 0.500, 0.000)
O (0.373, 0.067, 0.306)
O (0.878, 0.705, 0.173)
O (0.761, 0.067, 0.694)
O (0.295, 0.122, 0.827)

***

Compound: CrP2Ir
Source: Alexandria via LeMat-Bulk
Functional: PBE-GGA
Structure: relaxed

Computed properties:
Crystal system = orthorhombic
Magnetic moment = 0.001 μB per atom
Symmetry = No. 71
Final energy = -7.1226 eV per atom
Distance to the lowest polymorph of the same formula = 0.536 eV/atom
ΔE_f = 203 meV/atom

abc: 4.801 4.801 4.801
angles: 146.29 114.79 75.46
Atoms (fractional coordinates):
P (0.490, 0.490, 0.000)
P (0.010, 0.010, 0.000)
Cr (0.250, 0.750, 0.500)
Ir (0.750, 0.250, 0.500)